# 1
LiCa2Tl6In (PBE-GGA, relaxed); formation energy from the elements = -0.130 eV/atom; symmetry = No. 2; V = 295.6 Å³/cell; D(E_F) = 0.453 states/eV/atom; total magnetic moment = 0.000 μB/cell
1.0
6.202 0.000 0.000
2.895 6.564 0.000
2.940 -0.598 7.261
Li Ca Tl In
1 2 6 1
Direct
0.000 0.000 0.000
0.203 0.305 0.280
0.797 0.695 0.720
0.181 0.840 0.303
0.254 0.580 0.921
0.323 0.146 0.701
0.677 0.854 0.299
0.746 0.420 0.079
0.819 0.160 0.697
0.500 0.500 0.500

=====

# 2
Li2CaTl2In2 (PBE-GGA, relaxed); formation energy from the elements = -0.217 eV/atom; symmetry = No. 166; V = 176.1 Å³/cell; D(E_F) = 0.435 states/eV/atom; total magnetic moment = 0.000 μB/cell
1.0
2.444 1.411 8.510
-2.444 1.411 8.510
0.000 -2.823 8.510
Li Ca Tl In
2 1 2 2
Direct
0.141 0.141 0.141
0.859 0.859 0.859
0.000 0.000 0.000
0.438 0.438 0.438
0.562 0.562 0.562
0.267 0.267 0.267
0.733 0.733 0.733